# 1
CdGeO3 | the Open Quantum Materials Database | PBE | relaxed; calculated density = 5.9 g/cm3
1.0
8.367 0.000 0.000
0.000 3.144 0.000
0.000 0.000 5.011
Cd Ge O
2 2 6
direct
0.000 0.000 0.000 Cd
0.500 0.000 0.000 Cd
0.250 0.500 0.470 Ge
0.750 0.500 0.530 Ge
0.083 0.500 0.265 O
0.250 0.000 0.673 O
0.417 0.500 0.265 O
0.583 0.500 0.735 O
0.750 0.000 0.327 O
0.917 0.500 0.735 O

=====

# 2
ScTcPd2 | the Open Quantum Materials Database | PBE | relaxed; energy of formation = -195 meV per atom; calculated density = 9.2 g/cm3
1.0
0.000 3.180 3.180
3.180 0.000 3.180
3.180 3.180 0.000
Sc Tc Pd
1 1 2
direct
0.000 0.000 0.000 Sc
0.750 0.750 0.750 Tc
0.250 0.250 0.250 Pd
0.500 0.500 0.500 Pd

=====

# 3
Lu2Zr4Pb3N3 | the Open Quantum Materials Database | PBE | relaxed; calculated density = 10.2 g/cm3
1.0
5.105 -2.952 0.000
5.105 2.952 0.000
-3.391 0.000 14.850
Lu Zr Pb N
4 8 6 6
direct
0.029 0.864 0.586 Lu
0.136 0.971 0.914 Lu
0.864 0.029 0.086 Lu
0.971 0.136 0.414 Lu
0.193 0.360 0.080 Zr
0.307 0.474 0.420 Zr
0.360 0.193 0.580 Zr
0.474 0.307 0.920 Zr
0.526 0.693 0.080 Zr
0.640 0.807 0.420 Zr
0.693 0.526 0.580 Zr
0.807 0.640 0.920 Zr
0.084 0.260 0.750 Pb
0.260 0.084 0.250 Pb
0.426 0.574 0.750 Pb
0.574 0.426 0.250 Pb
0.740 0.916 0.750 Pb
0.916 0.740 0.250 Pb
0.000 0.500 0.500 N
0.164 0.671 0.000 N
0.329 0.836 0.500 N
0.500 0.000 0.000 N
0.671 0.164 0.500 N
0.836 0.329 0.000 N

=====

# 4
LaPr2Sn4Pd4 | the Open Quantum Materials Database | PBE | relaxed; calculated density = 8.2 g/cm3
1.0
-2.116 2.362 13.378
2.116 -2.362 13.378
2.116 2.362 -13.378
La Pr Sn Pd
1 2 4 4
direct
0.000 0.000 0.000 La
0.349 0.849 0.500 Pr
0.651 0.151 0.500 Pr
0.195 0.695 0.500 Sn
0.447 0.447 0.000 Sn
0.553 0.553 0.000 Sn
0.805 0.305 0.500 Sn
0.097 0.597 0.500 Pd
0.255 0.255 0.000 Pd
0.745 0.745 0.000 Pd
0.903 0.403 0.500 Pd

=====

# 5
GdDyTlCo2 | the Open Quantum Materials Database | PBE | relaxed; calculated density = 10.2 g/cm3
1.0
3.848 0.000 0.000
0.000 1.918 7.046
0.000 -1.918 7.046
Gd Dy Tl Co
1 1 1 2
direct
0.000 0.000 0.000 Gd
0.000 0.281 0.281 Dy
0.500 0.640 0.640 Tl
0.500 0.434 0.434 Co
0.500 0.847 0.847 Co

=====

# 6
PmAl5Pt2 | the Open Quantum Materials Database | PBE | relaxed; calculated density = 7.5 g/cm3
1.0
-2.037 3.669 4.933
2.037 -3.669 4.933
2.037 3.669 -4.933
Pm Al Pt
1 5 2
direct
0.000 0.000 0.000 Pm
0.161 0.350 0.810 Al
0.460 0.650 0.810 Al
0.500 0.000 0.500 Al
0.540 0.350 0.190 Al
0.839 0.650 0.190 Al
0.255 0.755 0.500 Pt
0.745 0.245 0.500 Pt

=====

The evaluated total DFT energy (no corrections) for the records listed, in turn: -5.405, -6.955, -7.630, -5.467, -5.448, -5.315 eV per atom.